! Ba2Al7Au12 | the Alexandria database | GGA-PBE | relaxed; values from VASP
! - formation energy (eV per atom) = -0.4773
! - space-group type = P-6, No. 174
&SYSTEM
  ibrav = 0, nat = 21, ntyp = 3
/
ATOMIC_SPECIES
Al 26.98 Al.upf
Au 196.97 Au.upf
Ba 137.33 Ba.upf
ATOMIC_POSITIONS crystal
Al 0.500 0.398 0.049
Al 0.500 0.951 0.350
Au 0.000 0.044 0.514
Au 0.500 0.533 0.772
Au 0.500 0.406 0.310
Al 0.000 0.108 0.799
Ba 0.500 0.000 0.000
Au 0.000 0.486 0.530
Ba 0.000 0.667 0.333
Au 0.000 0.470 0.956
Al 0.000 0.201 0.308
Al 0.000 0.333 0.667
Au 0.500 0.904 0.594
Au 0.500 0.690 0.096
Au 0.000 0.905 0.180
Au 0.500 0.239 0.467
Al 0.000 0.692 0.892
Au 0.000 0.276 0.095
Au 0.000 0.820 0.724
Au 0.500 0.228 0.761
Al 0.500 0.650 0.602
CELL_PARAMETERS angstrom
4.442 0.000 0.000
0.000 9.033 -5.215
0.000 0.000 10.431